NbPdS2Cl: relaxed, GGA-PBE.

Unit cell a=4.7921 b=4.7921 c=4.8557 alpha=90.00 beta=90.00 gamma=90.00
Fractional positions:
Nb (0.0000, 0.0000, 0.0000)
Pd (0.5000, 0.5000, 0.5000)
S (0.0000, 0.5000, 0.0000)
S (0.5000, 0.0000, 0.0000)
Cl (0.0000, 0.0000, 0.5000)

Properties
As for the energy relative to the elements, uncorrected: -92 meV/atom. For the density, the calculation gives 4.45 g/cm³. Its spin magnetization is 0.3 μB/cell.